Rb2YBF6 | the Alexandria database | PBE-GGA | optimized geometry; magnetization = 0.00 μB per formula unit; calculated total energy = -5.198 eV/atom
1.0
-5.116 0.991 -3.650
-3.550 -3.373 4.061
-5.255 2.562 2.517
Y B Rb F
1 1 2 6
Direct
0.000 0.000 0.000
0.500 0.500 0.000
0.750 0.250 0.500
0.250 0.750 0.500
0.243 0.243 0.515
0.757 0.757 0.485
0.243 0.243 0.000
0.757 0.757 0.000
0.757 0.243 0.000
0.243 0.757 0.000

RbZnB2F8 | the Alexandria database | PBE-GGA | optimized geometry; magnetization = 1.00 μB per formula unit; calculated total energy = -5.171 eV/atom
1.0
-3.626 -2.837 -2.475
1.429 -4.089 -2.926
-1.334 -6.990 4.447
Rb Zn B F
1 1 2 8
Direct
0.500 0.500 0.500
0.000 0.000 0.000
0.250 0.250 0.249
0.750 0.750 0.751
0.190 0.190 0.430
0.517 0.289 0.190
0.810 0.810 0.570
0.004 0.517 0.190
0.996 0.483 0.810
0.289 0.004 0.190
0.711 0.996 0.810
0.483 0.711 0.810

Number 1 is which compound?
Rb2YBF6